A plane-wave DFT calculation with PBE-GGA was carried out for a relaxed structure of Na3Tl7Pt2.

```
12
Lattice="5.1106 0.0000 0.0000 0.0000 4.5756 -0.7656 0.0000 -0.0054 14.0231" Properties=species:S:1:pos:R:3 pbc="T T T"
Na 2.5553 2.2878 -0.3828
Na 0.0000 1.3561 8.1046
Na 0.0000 3.2141 5.1528
Tl 2.5553 3.6396 7.6961
Tl 2.5553 0.9306 5.5613
Tl 0.0000 1.8717 11.1855
Tl 0.0000 0.0000 0.0000
Tl 0.0000 2.6985 2.0719
Tl 2.5553 0.3754 2.2434
Tl 2.5553 4.1948 11.0140
Pt 2.5553 1.6324 9.7557
Pt 2.5553 2.9378 3.5018
```

Values from the calculation:
* formation enthalpy at 0 K: -0.10 eV/atom
* calculated density: 9571 kg/m3

A plane-wave DFT calculation with PBE-GGA was carried out for a relaxed structure of Na3TlPt.

```
5
Lattice="-2.7361 4.4821 -1.7729 0.0413 -2.0167 -5.1624 -4.8198 -2.5617 0.9621" Properties=species:S:1:pos:R:3 pbc="T T T"
Na 0.0207 -1.0083 -2.5812
Na -2.4099 -1.2808 0.4811
Na -1.3681 2.2411 -0.8864
Tl 0.0000 0.0000 0.0000
Pt -3.7573 -0.0481 -2.9865
```

Values from the calculation:
* formation enthalpy at 0 K: 0.70 eV/atom
* calculated density: 4569 kg/m3
* energy above the most stable polymorph in this dataset: 0.835 eV/atom

A plane-wave DFT calculation with PBE-GGA was carried out for a relaxed structure of Na5Tl2Pt.

```
16
Lattice="4.0264 0.0000 0.0000 0.0000 7.1953 0.0000 0.0000 0.0000 14.6028" Properties=species:S:1:pos:R:3 pbc="T T T"
Na 0.0000 0.0000 0.0000
Na 0.0000 3.5977 7.3014
Na 0.0000 3.3735 10.8921
Na 0.0000 3.8218 3.7107
Na 0.0000 0.2242 3.5907
Na 0.0000 6.9712 11.0121
Na 2.0132 1.9022 12.9883
Na 2.0132 5.2932 1.6145
Na 2.0132 1.6955 5.6869
Na 2.0132 5.4998 8.9159
Tl 2.0132 1.4245 8.8425
Tl 2.0132 5.7708 5.7603
Tl 2.0132 2.1731 1.5411
Tl 2.0132 5.0222 13.0617
Pt 0.0000 0.0000 7.3014
Pt 0.0000 3.5977 0.0000
```

Values from the calculation:
* formation enthalpy at 0 K: -0.10 eV/atom
* calculated density: 5643 kg/m3
* energy above the most stable polymorph in this dataset: 0.032 eV/atom